[1]
# Sn2HgPb2

An optimized crystal structure of Sn2HgPb2 (PBE, Alexandria).

Values from the calculation:
**Total moment**: 0.0 μB per formula unit
**Calculated volume**: 161.1 Å³ per cell
**Crystal system**: tetragonal
**E above lowest polymorph**: 32 meV/atom

```
data_Sn2HgPb2
_chemical_formula_sum 'Sn2 Hg1 Pb2'
_symmetry_space_group_name_H-M 'P 1'
_symmetry_Int_Tables_number 1
_symmetry_space_group_name_Hall 'P 1'
_cell_length_a 8.733
_cell_length_b 8.733
_cell_length_c 8.733
_cell_angle_alpha 150.50
_cell_angle_beta 150.50
_cell_angle_gamma 42.20
loop_
_atom_site_label
_atom_site_type_symbol
_atom_site_fract_x
_atom_site_fract_y
_atom_site_fract_z
_atom_site_occupancy
Sn1 Sn 0.250 0.750 0.500 1
Sn2 Sn 0.750 0.250 0.500 1
Hg1 Hg 0.000 0.000 0.000 1
Pb1 Pb 0.395 0.395 0.000 1
Pb2 Pb 0.605 0.605 0.000 1
```

[2]
# CeEuRuAu

An optimized crystal structure of CeEuRuAu (PBE, Alexandria).

Values from the calculation:
**Total moment**: 7.3 μB per formula unit
**Calculated volume**: 91.7 Å³ per cell
**Crystal system**: cubic
**E_tot**: -7.51 eV/atom

```
data_CeEuRuAu
_chemical_formula_sum 'Ce1 Eu1 Ru1 Au1'
_symmetry_space_group_name_H-M 'P 1'
_symmetry_Int_Tables_number 1
_symmetry_space_group_name_Hall 'P 1'
_cell_length_a 5.062
_cell_length_b 5.062
_cell_length_c 5.062
_cell_angle_alpha 60.00
_cell_angle_beta 60.00
_cell_angle_gamma 60.00
loop_
_atom_site_label
_atom_site_type_symbol
_atom_site_fract_x
_atom_site_fract_y
_atom_site_fract_z
_atom_site_occupancy
Ce1 Ce 0.000 0.000 0.000 1
Eu1 Eu 0.500 0.500 0.500 1
Ru1 Ru 0.250 0.250 0.250 1
Au1 Au 0.750 0.750 0.750 1
```

Question: Which value of total moment does entry 1 give?
Answer: 0.0 μB per formula unit

Question: calculated volume of number 2 (CeEuRuAu)?
Answer: 91.7 Å³ per cell